# 1
Here is a relaxed structure of La3TmSc from Alexandria. Energies are from PBE.

Values from the calculation:
- Distance to the lowest polymorph of the same formula: 0.069 eV per atom
- Size of the total moment: 0.0 Bohr magnetons per cell
- Electronic total energy: -4.9135 eV per atom

Unit cell a=6.607 b=6.607 c=10.093 alpha=90.00 beta=90.00 gamma=128.89
Positions (direct):
La  0.000  0.000  0.000
La  0.000  0.000  0.500
La  0.305  0.695  0.564
La  0.305  0.695  0.936
La  0.695  0.305  0.064
La  0.695  0.305  0.436
Tm  0.190  0.810  0.250
Tm  0.810  0.190  0.750
Sc  0.462  0.538  0.250
Sc  0.538  0.462  0.750

=====

# 2
Here is a relaxed structure of BaIrO3 from Alexandria. Energies are from PBE.

Values from the calculation:
- Size of the total moment: 3.5 Bohr magnetons per cell
- ΔE_f (raw): -1579 meV per atom
- Electronic total energy: -6.7104 eV per atom

Unit cell a=5.856 b=5.856 c=15.417 alpha=102.24 beta=102.24 gamma=59.62
Positions (direct):
Ba  0.131  0.131  0.429
Ba  0.280  0.280  0.745
Ba  0.348  0.348  0.081
Ba  0.652  0.652  0.919
Ba  0.720  0.720  0.255
Ba  0.869  0.869  0.571
Ir  0.000  0.000  0.000
Ir  0.027  0.027  0.180
Ir  0.413  0.413  0.326
Ir  0.500  0.500  0.500
Ir  0.587  0.587  0.674
Ir  0.973  0.973  0.820
O  0.133  0.683  0.901
O  0.142  0.142  0.926
O  0.144  0.624  0.418
O  0.192  0.683  0.238
O  0.203  0.203  0.278
O  0.317  0.808  0.762
O  0.317  0.867  0.099
O  0.376  0.856  0.582
O  0.392  0.392  0.597
O  0.608  0.608  0.403
O  0.624  0.144  0.418
O  0.683  0.133  0.901
O  0.683  0.192  0.238
O  0.797  0.797  0.722
O  0.808  0.317  0.762
O  0.856  0.376  0.582
O  0.858  0.858  0.074
O  0.867  0.317  0.099

=====

# 3
Here is a relaxed structure of LuThScMo from Alexandria. Energies are from PBE.

Values from the calculation:
- Size of the total moment: 0.0 Bohr magnetons per cell
- Electronic total energy: -7.0979 eV per atom

Unit cell a=5.119 b=5.119 c=5.119 alpha=60.00 beta=60.00 gamma=60.00
Positions (direct):
Lu  0.000  0.000  0.000
Th  0.500  0.500  0.500
Sc  0.250  0.250  0.250
Mo  0.750  0.750  0.750

=====

# 4
Here is a relaxed structure of Ca2LaPt from Alexandria. Energies are from PBE.

Values from the calculation:
- Distance to the lowest polymorph of the same formula: 0.000 eV per atom
- Size of the total moment: 0.0 Bohr magnetons per cell
- Electronic total energy: -4.3507 eV per atom

Unit cell a=6.759 b=6.759 c=9.800 alpha=90.00 beta=90.00 gamma=145.17
Positions (direct):
Ca  0.147  0.853  0.568
Ca  0.147  0.853  0.932
Ca  0.853  0.147  0.068
Ca  0.853  0.147  0.432
La  0.419  0.581  0.750
La  0.581  0.419  0.250
Pt  0.237  0.763  0.250
Pt  0.763  0.237  0.750

=====

# 5
Here is a relaxed structure of Sr2MgMn from Alexandria. Energies are from PBE.

Values from the calculation:
- Size of the total moment: 3.7 Bohr magnetons per cell
- Electronic total energy: -3.0373 eV per atom

Unit cell a=10.508 b=10.508 c=10.508 alpha=22.14 beta=22.14 gamma=22.14
Positions (direct):
Sr  0.242  0.242  0.242
Sr  0.758  0.758  0.758
Mg  0.000  0.000  0.000
Mn  0.500  0.500  0.500

=====

# 6
Here is a relaxed structure of Na4Bi2O5 from Alexandria. Energies are from PBE.

Values from the calculation:
- Distance to the lowest polymorph of the same formula: 0.000 eV per atom
- Size of the total moment: 0.0 Bohr magnetons per cell
- ΔE_f (raw): -1391 meV per atom
- Electronic total energy: -4.8300 eV per atom

Unit cell a=5.146 b=8.917 c=9.081 alpha=103.87 beta=105.97 gamma=106.65
Positions (direct):
Na  0.090  0.005  0.174
Na  0.110  0.701  0.539
Na  0.125  0.380  0.873
Na  0.376  0.796  0.950
Na  0.624  0.204  0.050
Na  0.875  0.620  0.127
Na  0.890  0.299  0.461
Na  0.910  0.995  0.826
Bi  0.362  0.440  0.267
Bi  0.388  0.122  0.631
Bi  0.612  0.878  0.369
Bi  0.638  0.560  0.733
O  0.141  0.225  0.061
O  0.199  0.877  0.381
O  0.209  0.545  0.704
O  0.360  0.975  0.776
O  0.370  0.621  0.146
O  0.630  0.379  0.854
O  0.640  0.025  0.224
O  0.791  0.455  0.296
O  0.801  0.123  0.619
O  0.859  0.775  0.939

=====

# 7
Here is a relaxed structure of FeIrAu2 from Alexandria. Energies are from PBE.

Values from the calculation:
- Distance to the lowest polymorph of the same formula: 0.111 eV per atom
- Size of the total moment: 4.0 Bohr magnetons per cell
- Electronic total energy: -5.7378 eV per atom

Unit cell a=4.833 b=4.833 c=4.833 alpha=130.76 beta=130.76 gamma=72.19
Positions (direct):
Fe  0.000  0.000  0.000
Ir  0.250  0.750  0.500
Au  0.500  0.500  0.000
Au  0.750  0.250  0.500

=====

# 8
Here is a relaxed structure of MgGa4Co from Alexandria. Energies are from PBE.

Values from the calculation:
- Size of the total moment: 0.0 Bohr magnetons per cell
- Electronic total energy: -3.6825 eV per atom

Unit cell a=7.916 b=3.787 c=6.550 alpha=90.00 beta=90.00 gamma=90.00
Positions (direct):
Mg  0.250  0.000  0.091
Mg  0.750  0.000  0.909
Ga  0.000  0.000  0.500
Ga  0.066  0.500  0.815
Ga  0.250  0.500  0.429
Ga  0.434  0.500  0.815
Ga  0.500  0.000  0.500
Ga  0.566  0.500  0.185
Ga  0.750  0.500  0.571
Ga  0.934  0.500  0.185
Co  0.250  0.000  0.691
Co  0.750  0.000  0.309